(1)
DFT (PBE) results for a relaxed CrTe4Ir crystal.

formation energy without anion corrections: 1312 meV/atom
size of the total moment: 0.48 μB/atom
energy above the most stable polymorph in this dataset: 9.04 eV/f.u.

Cell: 6.1250 6.1250 6.1250 Å, 60.00 60.00 60.00°
Atoms (fractional coordinates):
Cr (0.0000, 0.0000, 0.0000)
Te (0.3756, 0.3756, 0.3756)
Te (0.3756, 0.3756, 0.8731)
Te (0.3756, 0.8731, 0.3756)
Te (0.8731, 0.3756, 0.3756)
Ir (0.7500, 0.7500, 0.7500)



(2)
DFT (PBE) results for a relaxed NaAg3Pd crystal.

DFT formation energy: -0.0085 eV/atom
size of the total moment: 0.00 μB/atom
energy above the most stable polymorph in this dataset: 0.00 eV/f.u.

Cell: 7.4161 7.4161 5.2913 Å, 90.00 90.00 135.61°
Atoms (fractional coordinates):
Na (0.0768, 0.9232, 0.7500)
Na (0.9232, 0.0768, 0.2500)
Ag (0.1009, 0.4038, 0.7500)
Ag (0.3233, 0.6767, 0.2500)
Ag (0.4038, 0.1009, 0.2500)
Ag (0.5962, 0.8991, 0.7500)
Ag (0.6767, 0.3233, 0.7500)
Ag (0.8991, 0.5962, 0.2500)
Pd (0.5000, 0.5000, 0.0000)
Pd (0.5000, 0.5000, 0.5000)



(3)
DFT (PBE) results for a relaxed InCuRh crystal.

DFT formation energy: -0.1310 eV/atom
size of the total moment: 0.00 μB/atom
energy above the most stable polymorph in this dataset: 0.00 eV/f.u.

Cell: 3.0591 3.6527 8.4377 Å, 90.00 90.00 90.00°
Atoms (fractional coordinates):
In (0.0000, 0.0000, 0.0000)
In (0.5000, 0.5000, 0.5000)
Cu (0.0000, 0.0000, 0.3264)
Cu (0.5000, 0.5000, 0.8264)
Rh (0.0000, 0.0000, 0.6693)
Rh (0.5000, 0.5000, 0.1693)



(4)
DFT (PBE) results for a relaxed YScNb2I crystal.

formation energy without anion corrections: 885 meV/atom
size of the total moment: 0.18 μB/atom

Cell: 5.1137 5.1137 5.1852 Å, 90.00 90.00 90.00°
Atoms (fractional coordinates):
Y (0.0000, 0.0000, 0.0000)
Sc (0.5000, 0.5000, 0.0000)
Nb (0.0000, 0.5000, 0.5000)
Nb (0.5000, 0.0000, 0.5000)
I (0.5000, 0.5000, 0.5000)